# 1
Material: LaLu3Ir
Method: DFT, GGA-PBE
State: relaxed

a = 5.360 Å, b = 5.360 Å, c = 5.360 Å
α = 90.00°, β = 90.00°, γ = 90.00°
Sites, in units of the cell vectors:
Ir  0.000  0.000  0.000
Lu  0.000  0.500  0.000
Lu  0.000  0.000  0.500
Lu  0.500  0.000  0.000
La  0.500  0.500  0.500

Values from the calculation:
space-group type: Pm-3m
formation energy from the elements: -186 kJ/mol of formula units

---

# 2
Material: LaLuIr
Method: DFT, GGA-PBE
State: relaxed

a = 3.506 Å, b = 3.506 Å, c = 6.912 Å
α = 104.69°, β = 104.69°, γ = 90.00°
Sites, in units of the cell vectors:
Ir  0.657  0.657  0.314
Lu  0.044  0.044  0.088
La  0.299  0.299  0.598

Values from the calculation:
space-group type: I4mm
formation energy from the elements: -158 kJ/mol of formula units
polymorph energy (0 for the lowest one): 7.34 kJ/mol of atoms

---

# 3
Material: LaLuIr
Method: DFT, GGA-PBE
State: relaxed

a = 6.207 Å, b = 4.166 Å, c = 4.166 Å
α = 120.00°, β = 90.00°, γ = 90.00°
Sites, in units of the cell vectors:
Ir  0.013  0.000  0.000
Lu  0.223  0.333  0.667
La  0.764  0.667  0.333

Values from the calculation:
space-group type: P3m1
formation energy from the elements: -168 kJ/mol of formula units
polymorph energy (0 for the lowest one): 4.04 kJ/mol of atoms